[1]
Density functional theory data (PBE-GGA) for a relaxed NpPa2Mo crystal.

Unit cell a=3.4570 b=3.4570 c=7.1741 alpha=90.00 beta=90.00 gamma=90.00
Last column: nearest neighbours and their distance in Å.
Atoms (fractional coordinates):
Np1 0.0000 0.0000 0.0000  8 Pa 3.06
Pa1 0.5000 0.5000 0.2564  4 Mo 3.00, 4 Np 3.06
Pa2 0.5000 0.5000 0.7436  4 Mo 3.00, 4 Np 3.06
Mo1 0.0000 0.0000 0.5000  8 Pa 3.00

The calculation puts the energy relative to the elements at 0.1880 eV per atom.


[2]
Density functional theory data (PBE-GGA) for a relaxed NpPaMo crystal.

Unit cell a=5.6094 b=5.6094 c=5.6094 alpha=144.12 beta=144.12 gamma=51.65
Last column: nearest neighbours and their distance in Å.
Atoms (fractional coordinates):
Np1 0.0000 0.0000 0.0000  4 Pa 2.93, 4 Mo 2.97
Pa1 0.3400 0.3400 0.0000  4 Np 2.93, 4 Mo 3.00
Mo1 0.6679 0.6679 0.0000  4 Np 2.97, 5 Pa 3.00-3.31

The calculation puts the energy relative to the elements at 0.1764 eV per atom.


What are the energy above the most stable polymorph in this dataset values for these records? In order: 0.000, 0.000 eV per atom.